# 1
Dy5Fe2Ag2 | PBE-GGA | optimized geometry

Lattice parameters (Å, degrees): 16.277 7.178 7.235 90.00 90.00 90.00
Space group Cmce (No. 64)
One atom of each set of equivalent atoms:
Dy 0.000 0.000 0.000 (multiplicity 4)
Dy 0.126 0.182 0.317 (multiplicity 16)
Fe 0.000 0.105 0.608 (multiplicity 8)
Ag 0.221 0.000 0.000 (multiplicity 8)

Calculated total energy in eV/cell: -186.590
E_form in eV/atom: -0.112
Total moment in μB per formula unit: 1.472


# 2
MgCr | PBE-GGA | optimized geometry

Lattice parameters (Å, degrees): 4.3832 4.3832 9.1048 90.00 90.00 120.00
Space group P6_3/mmc (No. 194)
One atom of each set of equivalent atoms:
Mg 0.3333 0.6667 0.0834 (multiplicity 4)
Cr 0.0000 0.0000 0.2500 (multiplicity 2)
Cr 0.3333 0.6667 0.7500 (multiplicity 2)

Offset from the most stable computed form in meV/atom: 207
Calculated total energy in eV/cell: -41.257
E_form in eV/atom: 0.452
Total moment in μB per formula unit: 0.124


# 3
CaZr4Ni | PBE-GGA | optimized geometry

Lattice parameters (Å, degrees): 8.288 8.288 8.288 90.00 90.00 90.00
Space group F-43m (No. 216)
One atom of each set of equivalent atoms:
Ca 0.000 0.000 0.000 (multiplicity 4)
Zr 0.124 0.124 0.376 (multiplicity 16)
Ni 0.250 0.250 0.750 (multiplicity 4)

Calculated total energy in eV/cell: -154.680
E_form in eV/atom: 0.551
Total moment in μB per formula unit: 0.000


# 4
Mg2ZrCu | PBE-GGA | optimized geometry

Lattice parameters (Å, degrees): 5.257 3.006 10.003 90.00 100.19 90.00
Space group Cm (No. 8)
One atom of each set of equivalent atoms:
Mg 0.000 0.000 0.000 (multiplicity 2)
Mg 0.192 0.000 0.563 (multiplicity 2)
Zr 0.268 0.500 0.280 (multiplicity 2)
Cu 0.095 0.500 0.782 (multiplicity 2)

Calculated total energy in eV/cell: -30.954
E_form in eV/atom: 0.089
Total moment in μB per formula unit: 0.000